Record 1
VASP calculation (PBE-GGA) on an optimized crystal structure of Pm5CdRu4.

Lattice parameters (Å, degrees): 3.4985 3.4985 18.5373 90.00 90.00 90.00
Atoms (fractional coordinates):
Pm 0.0000 0.0000 0.0000
Pm 0.0000 0.0000 0.1874
Pm 0.0000 0.0000 0.3754
Pm 0.0000 0.0000 0.6246
Pm 0.0000 0.0000 0.8126
Cd 0.5000 0.5000 0.5000
Ru 0.5000 0.5000 0.0950
Ru 0.5000 0.5000 0.2876
Ru 0.5000 0.5000 0.7124
Ru 0.5000 0.5000 0.9050

Space group: P4/mmm (123)
Formation energy, kJ/mol of formula units: -190
Size of the total moment, μB/cell: 0.00

Record 2
VASP calculation (PBE-GGA) on an optimized crystal structure of BaCr2Br.

Lattice parameters (Å, degrees): 3.6732 3.6513 8.0791 90.00 102.92 90.00
Atoms (fractional coordinates):
Ba 0.0000 0.0000 0.0000
Cr 0.2080 0.0000 0.4254
Cr 0.6557 0.5000 0.3195
Br 0.3613 0.5000 0.7195

Space group: Pm (6)
Size of the total moment, μB/cell: 0.36
Formation energy without anion corrections, meV/atom: 106
Energy relative to the lowest polymorph listed for this composition, kcal/mol of atoms: 0.00

Record 3
VASP calculation (PBE-GGA) on an optimized crystal structure of Na2As2Ru.

Lattice parameters (Å, degrees): 6.3576 6.3576 4.9393 90.00 90.00 90.00
Atoms (fractional coordinates):
Na 0.1803 0.3197 0.0000
Na 0.3197 0.8197 0.0000
Na 0.6803 0.1803 0.0000
Na 0.8197 0.6803 0.0000
As 0.1416 0.6416 0.5000
As 0.3584 0.1416 0.5000
As 0.6416 0.8584 0.5000
As 0.8584 0.3584 0.5000
Ru 0.0000 0.0000 0.5000
Ru 0.5000 0.5000 0.5000

Space group: P4/mbm (127)
Formation energy, kJ/mol of formula units: -155
Size of the total moment, μB/cell: 0.00